Here is a geometry-optimized SnSb2PI structure from the Alexandria database. Energies are from PBE.

Energy relative to the lowest polymorph listed for this composition = 618 meV/atom
Formation energy (no corrections) = 1.124 eV/atom
Calculated density = 4.66 Mg/m³
Size of the total moment = 0.000 μB/f.u.
Symmetry = P4/mmm

a b c (Å): 5.740 5.740 5.621
angles (deg): 90.00 90.00 90.00
Sites, in units of the cell vectors:
Sn1 0.000 0.000 0.000
Sb1 0.000 0.500 0.000
Sb2 0.500 0.000 0.000
P1 0.500 0.500 0.500
I1 0.000 0.000 0.500